[1]
A relaxed structure of ZnCrI2N, computed with PBE.

a = 5.6203 Å, b = 5.6203 Å, c = 3.6520 Å
α = 90.00°, β = 90.00°, γ = 90.00°
Space group P4/mmm (No. 123)
Unique sites:
1 Zn 0.0000 0.0000 0.0000 x1
2 Cr 0.5000 0.5000 0.5000 x1
3 I 0.0000 0.5000 0.5000 x2
4 N 0.5000 0.5000 0.0000 x1

* crystal system: tetragonal
* relative energy among the computed polymorphs: 0 meV/atom
* formation energy (no corrections): 0.2154 eV per atom



[2]
A relaxed structure of ZnCrI2N, computed with PBE.

a = 5.6756 Å, b = 5.6756 Å, c = 3.6733 Å
α = 90.00°, β = 90.00°, γ = 90.00°
Space group P4/mmm (No. 123)
Unique sites:
1 Zn 0.0000 0.0000 0.0000 x1
2 Cr 0.5000 0.5000 0.5000 x1
3 I 0.0000 0.5000 0.0000 x2
4 N 0.0000 0.0000 0.5000 x1

* crystal system: tetragonal
* relative energy among the computed polymorphs: 1196 meV/atom
* formation energy (no corrections): 1.4111 eV per atom